VTcNiGe | Alexandria | PBE | optimized geometry; SG = F-43m (216); crystal system = cubic; size of the total moment = 1.47 μB/f.u.; formation enthalpy at 0 K = -0.7 eV/f.u.
1.0
-2.630 -0.902 -3.176
-1.333 -3.964 -0.575
-4.017 -1.014 0.809
Ni Ge V Tc
1 1 1 1
Direct
0.000 0.000 0.000
0.250 0.250 0.250
0.750 0.750 0.750
0.500 0.500 0.500